[1]
4
Lattice="3.3532 0.0000 0.0000 1.6766 2.9040 0.0000 1.6766 0.9680 9.2626" Properties=species:S:1:pos:R:3 comment="RuPb2Cl SCAN single point on PBEsol structure" e_form_raw_mev_per_atom=153.2 dos_ef_per_ev_fu=2.1 sg="R3m, No. 160" pbc="T T T"
Pb 5.0298 2.9040 0.0562
Pb 5.0298 2.9040 6.4788
Ru 3.3532 1.9360 4.4298
Cl 1.6766 0.9680 2.9291

=====

[2]
9
Lattice="-2.1950 -0.1862 1.9512 4.8941 -0.4543 5.4622 -2.4854 6.5658 -2.1695" Properties=species:S:1:pos:R:3 comment="Zn2Au SCAN single point on PBEsol structure" delta_e_f_kj_per_mol_fu=-62 dos_ef_per_ev_fu=0.7 sg="P-62m, No. 189" pbc="T T T"
Au -0.0256 4.2258 0.3744
Au -1.0975 -0.0931 0.9756
Zn -0.2048 2.1720 2.1959
Au 2.4342 1.8858 2.9183
Zn -2.6618 4.0393 -0.3899
Zn 1.6965 4.3047 2.3192
Zn -0.7348 1.9411 -0.6414
Zn 1.9827 -0.3790 4.4134
Zn 1.4469 -0.1343 1.6148

=====

[3]
4
Lattice="-3.3152 0.0689 0.9515 -0.3514 -3.2869 -0.9866 2.1380 -2.5194 7.6318" Properties=species:S:1:pos:R:3 comment="Cd2InTe SCAN single point on PBEsol structure" e_form_raw_mev_per_atom=103.1 dos_ef_per_ev_fu=1.9 sg="P4/mmm, No. 123" pbc="T T T"
Cd 0.5208 -0.6137 1.8590
Te -0.7644 -2.8687 3.7983
In -1.8333 -1.6090 -0.0176
Cd 1.6172 -1.9057 5.7727

=====

[4]
7
Lattice="2.8118 0.0000 -0.0046 0.0000 4.5128 0.0000 -1.0010 -2.2564 9.0907" Properties=species:S:1:pos:R:3 comment="Ta4Mo3 SCAN single point on PBEsol structure" delta_e_f_kj_per_mol_fu=-70 dos_ef_per_ev_fu=5.9 sg="Cm, No. 8" pbc="T T T"
Ta -0.0832 2.2564 3.9253
Mo 1.8432 0.0000 5.2335
Ta 1.8837 2.2564 1.2401
Ta 0.9196 2.2564 6.5280
Ta 0.9169 0.0000 2.5783
Mo -0.9770 2.2564 9.0540
Mo -0.0717 0.0000 7.7897

=====

[5]
4
Lattice="-2.9962 -1.7556 0.8544 1.9503 -2.7644 1.1592 0.1717 2.7003 6.1504" Properties=species:S:1:pos:R:3 comment="AgAs2Br SCAN single point on PBEsol structure" e_form_raw_mev_per_atom=73.0 dos_ef_per_ev_fu=1.4 sg="P4mm, No. 99" pbc="T T T"
As 0.0057 0.0891 0.2030
Br 0.0948 1.4906 3.3950
Ag -0.3921 -0.2014 5.6957
As -0.4967 -1.8478 1.9456

=====

[6]
24
Lattice="-2.6705 5.1128 0.6820 0.3477 -2.0166 -5.4360 -8.6254 -4.6624 1.1779" Properties=species:S:1:pos:R:3 comment="YLu3Cr4O16 SCAN single point on PBEsol structure" e_form_raw_mev_per_atom=-2902.9 dos_ef_per_ev_fu=9.4 sg="C222, No. 21" pbc="T T T"
Cr -5.4741 -0.7831 -1.7880
Lu -6.3118 -4.5141 -1.8323
O -4.7855 -0.4771 -3.3044
O -7.7315 0.6794 0.8272
O -5.9998 -3.7499 -4.0232
Cr -1.9477 -2.1551 -2.4283
O -8.7626 -1.4995 -0.0820
O -7.9568 -4.3391 -0.3448
O -5.5940 -2.4325 -1.4246
O -2.4317 1.4507 -4.3660
Cr -7.8391 -0.9592 1.2292
O -5.2775 2.6222 -0.2261
Cr 0.0000 0.0000 0.0000
O -1.4952 0.7785 -0.1690
O -6.9732 -0.0088 -1.9304
Lu -1.1614 1.5481 -2.3770
Y -4.3127 -2.3312 0.5890
O -10.0129 -1.0224 -2.2724
O -1.8532 -0.5099 -2.8135
O -2.8878 -2.6840 -3.7301
Lu -3.4750 1.3998 0.6332
O -8.1494 -3.2902 -2.6797
O -4.5438 -0.2139 -0.4928
O -3.1315 2.1674 -1.5770

=====

[7]
5
Lattice="5.4941 0.0000 0.0000 0.0000 5.4941 0.0000 0.0000 0.0000 5.4941" Properties=species:S:1:pos:R:3 comment="LaGa3P SCAN single point on PBEsol structure" delta_e_f_kj_per_mol_fu=610 dos_ef_per_ev_fu=4.4 sg="Pm-3m, No. 221" pbc="T T T"
P 2.7470 2.7470 2.7470
Ga 2.7470 0.0000 0.0000
Ga 0.0000 2.7470 0.0000
La 0.0000 0.0000 0.0000
Ga 0.0000 0.0000 2.7470

=====

[8]
4
Lattice="-1.1877 0.1681 -3.2918 4.7457 -1.2581 -1.7765 -1.3436 -5.3657 0.2108" Properties=species:S:1:pos:R:3 comment="YCd2Br SCAN single point on PBEsol structure" e_form_raw_mev_per_atom=-523.0 dos_ef_per_ev_fu=2.1 sg="Pmm2, No. 25" pbc="T T T"
Y -1.2431 -2.5086 -1.5441
Br 1.3821 -2.1300 -2.4719
Cd -1.3037 -5.2065 0.2045
Cd 1.3637 -4.6590 -0.7300

=====

[9]
3
Lattice="-2.2723 -2.2122 0.3413 2.6626 -3.1265 -2.5379 0.4828 0.2442 4.7972" Properties=species:S:1:pos:R:3 comment="MgCdHg SCAN single point on PBEsol structure" delta_e_f_kj_per_mol_fu=-44 dos_ef_per_ev_fu=0.8 sg="P3m1, No. 156" pbc="T T T"
Mg 1.1777 -2.7412 0.0210
Hg -0.6746 -2.7136 2.6351
Cd -1.9021 -1.8518 0.2857

=====

[10]
4
Lattice="-2.7826 -2.0265 -3.1849 -2.9516 -3.4070 1.2938 -4.6200 0.8025 0.0730" Properties=species:S:1:pos:R:3 comment="YSbRh2 SCAN single point on PBEsol structure" e_form_raw_mev_per_atom=-336.6 dos_ef_per_ev_fu=5.3 sg="F-43m, No. 216" pbc="T T T"
Rh -7.7656 -3.4732 -1.3636
Rh 0.0000 0.0000 0.0000
Y -2.5885 -1.1577 -0.4545
Sb -5.1771 -2.3155 -0.9091

=====

[11]
5
Lattice="4.8304 0.0000 0.0000 0.0000 6.6123 0.0000 0.0000 0.0000 6.6123" Properties=species:S:1:pos:R:3 comment="K2FeSbPt SCAN single point on PBEsol structure" e_form_raw_mev_per_atom=586.2 dos_ef_per_ev_fu=8.3 sg="P4/mmm, No. 123" pbc="T T T"
K 0.0000 3.3061 0.0000
Pt 2.4152 0.0000 0.0000
K 0.0000 0.0000 3.3061
Sb 0.0000 0.0000 0.0000
Fe 2.4152 3.3061 3.3061

=====

[12]
36
Lattice="4.1113 0.0000 0.0000 0.0000 9.4271 0.0000 0.0000 0.0000 15.7523" Properties=species:S:1:pos:R:3 comment="CdH4Br3N SCAN single point on PBEsol structure" dos_ef_per_ev_fu=0.0 sg="Pnma, No. 62" e_tot_ev_per_atom=-13.15 pbc="T T T"
Br 1.0278 4.9429 6.2688
Br 1.0278 1.5601 7.9529
H 3.0835 5.5290 13.9629
H 1.8559 4.8565 2.9287
N 3.0835 0.4770 10.6439
Cd 3.0835 3.1662 7.0139
Br 3.0835 3.1535 0.0767
N 3.0835 5.1906 12.9845
Br 1.0278 6.2736 15.6756
H 1.0278 3.8982 1.7895
H 3.0835 5.9894 12.3222
H 1.0278 3.4377 3.4301
H 3.9115 4.5707 12.8236
H 3.9115 9.2842 10.8049
Cd 3.0835 7.8797 0.8623
H 0.1998 4.8565 2.9287
H 0.1998 0.1429 4.9474
Cd 1.0278 1.5474 14.8900
Br 1.0278 2.6583 12.4278
Br 3.0835 7.8671 7.7994
Br 1.0278 7.3718 11.2007
H 3.0835 1.2759 11.3062
Br 3.0835 6.7689 3.3245
Br 3.0835 9.1978 14.1450
N 1.0278 4.2366 2.7678
Cd 1.0278 6.2610 8.7384
H 2.2555 9.2842 10.8049
Br 1.0278 0.2294 1.6074
H 1.0278 8.6118 6.0867
Br 3.0835 2.0553 4.5516
H 1.0278 8.1513 4.4461
Br 3.0835 4.4842 9.4835
H 1.8559 0.1429 4.9474
H 3.0835 0.8154 9.6656
N 1.0278 8.9501 5.1084
H 2.2555 4.5707 12.8236

=====

[13]
6
Lattice="5.3753 0.0000 0.0000 2.6876 4.6551 0.0000 2.6876 1.5517 4.3889" Properties=species:S:1:pos:R:3 comment="KAlZn4 SCAN single point on PBEsol structure" delta_e_f_kj_per_mol_fu=112 dos_ef_per_ev_fu=2.9 sg="F-43m, No. 216" pbc="T T T"
Zn 5.3753 4.6448 1.6495
Zn 5.3753 3.1034 3.8293
Zn 4.0405 2.3328 1.6495
K 0.0000 0.0000 0.0000
Zn 6.7101 2.3328 1.6495
Al 8.0629 4.6551 3.2917

=====

[14]
4
Lattice="2.8035 0.0000 0.0000 0.0000 2.9188 0.0152 0.0000 -0.0444 7.6827" Properties=species:S:1:pos:R:3 comment="Zn2ReCl SCAN single point on PBEsol structure" e_form_raw_mev_per_atom=117.0 dos_ef_per_ev_fu=2.1 sg="Pmmm, No. 47" pbc="T T T"
Zn 0.0000 2.8833 5.9247
Re 1.4017 1.4594 0.0076
Zn 0.0000 -0.0089 1.7732
Cl 1.4017 -0.0222 3.8414

=====

[15]
5
Lattice="4.7475 0.0000 0.0000 0.0000 4.7475 0.0000 0.0000 0.0000 4.9456" Properties=species:S:1:pos:R:3 comment="P2HAuS SCAN single point on PBEsol structure" dos_ef_per_ev_fu=3.8 sg="P4/mmm, No. 123" e_tot_ev_per_atom=-19.06 pbc="T T T"
Au 0.0000 0.0000 0.0000
P 0.0000 2.3737 0.0000
P 2.3737 0.0000 0.0000
S 0.0000 0.0000 2.4728
H 2.3737 2.3737 2.4728

=====

[16]
5
Lattice="3.9819 0.0000 0.0000 0.0000 3.9819 0.0000 0.0000 0.0000 3.9819" Properties=species:S:1:pos:R:3 comment="Li3GeF SCAN single point on PBEsol structure" e_form_raw_mev_per_atom=-1271.1 dos_ef_per_ev_fu=1.3 sg="Pm-3m, No. 221" pbc="T T T"
Ge 1.9910 1.9910 1.9910
Li 0.0000 0.0000 1.9910
Li 1.9910 0.0000 0.0000
Li 0.0000 1.9910 0.0000
F 0.0000 0.0000 0.0000

=====

[17]
5
Lattice="4.4785 0.0000 0.0000 0.0000 4.4785 0.0000 0.0000 0.0000 4.4785" Properties=species:S:1:pos:R:3 comment="InCo3Ru SCAN single point on PBEsol structure" delta_e_f_kj_per_mol_fu=962 dos_ef_per_ev_fu=4.0 sg="Pm-3m, No. 221" pbc="T T T"
Co 2.2393 0.0000 0.0000
Ru 2.2393 2.2393 2.2393
Co 0.0000 0.0000 2.2393
In 0.0000 0.0000 0.0000
Co 0.0000 2.2393 0.0000

=====

[18]
4
Lattice="3.0866 0.0405 0.0000 -0.0405 3.0866 0.0000 0.0000 0.0000 9.3568" Properties=species:S:1:pos:R:3 comment="Sr2MoRh SCAN single point on PBEsol structure" delta_e_f_kj_per_mol_fu=300 dos_ef_per_ev_fu=2.5 sg="P4/mmm, No. 123" pbc="T T T"
Sr 0.0000 0.0000 2.0851
Mo 1.5231 1.5635 4.6784
Sr 0.0000 0.0000 7.2717
Rh 1.5231 1.5635 0.0000

=====

[19]
52
Lattice="9.6522 0.0000 0.0000 -4.8261 8.3591 0.0000 0.0000 0.0000 17.9954" Properties=species:S:1:pos:R:3 comment="CsTmNb6Br18 SCAN single point on PBEsol structure" e_form_raw_mev_per_atom=-1264.1 sg="P-31c, No. 163" pbc="T T T"
Br 3.9391 0.7045 11.9162
Br 7.0726 3.0591 11.9162
Tm 0.0000 5.5727 4.4988
Nb 3.1654 8.0339 7.8030
Br -2.2465 5.2999 6.0792
Br -0.6894 1.9685 15.0735
Br 0.6894 1.9685 11.9196
Br 4.1367 6.3905 6.0758
Br -2.7766 7.9718 15.0735
Cs 4.8261 2.7863 4.4988
Br 3.4666 4.5955 11.9162
Br 2.1037 6.0091 9.0087
Br -1.4298 7.1764 9.0087
Br 4.1522 4.8264 0.0110
Nb -3.7141 7.0834 7.8030
Br 0.6739 3.5327 17.9843
Nb -0.5487 1.6008 1.1946
Nb 7.9914 0.3252 16.8007
Br 5.5155 6.3905 2.9219
Br 6.2559 1.1827 8.9866
Nb 8.5402 1.2757 10.1923
Br 2.0495 0.3872 6.0758
Br 8.2921 1.5813 6.0758
Br 1.3595 3.7636 6.0792
Br 2.5796 3.0591 15.0769
Br 5.7131 0.7045 15.0769
Nb 3.7141 7.0834 1.1946
Br 7.6027 0.3872 2.9219
Br 1.4298 7.1764 17.9843
Br -0.6739 3.5327 9.0087
Br 2.2465 5.2999 2.9185
Nb 1.1120 1.2757 16.8007
Br -0.8870 7.6546 2.9185
Br 0.8870 7.6546 6.0792
Br -3.4660 6.7778 11.9196
Br -2.1037 6.0091 17.9843
Br 2.7224 2.3500 8.9866
Nb 0.5488 1.6008 7.8030
Nb -3.1653 8.0339 1.1946
Br 1.3601 1.5813 2.9219
Br 2.7766 7.9718 11.9196
Br 6.1855 4.5955 15.0769
Br -1.3594 3.7636 2.9185
Nb 5.3748 6.7582 16.8007
Br 3.4660 6.7778 15.0735
Nb 1.6607 0.3252 10.1923
Nb 4.2773 6.7582 10.1923
Br 5.5000 4.8264 8.9866
Tm 4.8261 2.7863 13.4965
Br 3.3963 1.1827 0.0110
Cs 0.0000 5.5727 13.4965
Br 6.9298 2.3500 0.0110

=====

[20]
5
Lattice="-1.5391 -3.4024 0.6130 3.0415 -0.8179 3.0964 -2.6514 1.7520 3.0672" Properties=species:S:1:pos:R:3 comment="HfS2NCl SCAN single point on PBEsol structure" e_form_raw_mev_per_atom=1080.0 dos_ef_per_ev_fu=1.2 sg="P4/mmm, No. 123" pbc="T T T"
S 1.5208 -0.4090 1.5482
N -0.7695 -1.7012 0.3065
Cl 0.0000 0.0000 0.0000
S -1.3257 0.8760 1.5336
Hf -0.5745 -1.2341 3.3883

=====

[21]
5
Lattice="-6.2921 1.7075 -0.0933 -0.1959 -0.3664 6.5071 1.6988 6.2821 0.4048" Properties=species:S:1:pos:R:3 comment="Cs3AgCl SCAN single point on PBEsol structure" e_form_raw_mev_per_atom=-717.4 dos_ef_per_ev_fu=3.3 sg="Pm-3m, No. 221" pbc="T T T"
Cs 0.8494 3.1410 0.2024
Ag -2.3946 3.8116 3.4093
Cs -3.1460 0.8537 -0.0466
Cs -0.0979 -0.1832 3.2535
Cl 0.0000 0.0000 0.0000

=====

[22]
4
Lattice="-1.8263 0.0942 -2.3899 0.2240 -2.0953 -2.1484 -5.6495 -5.0451 2.2237" Properties=species:S:1:pos:R:3 comment="TiRuS2 SCAN single point on PBEsol structure" e_form_raw_mev_per_atom=-580.5 dos_ef_per_ev_fu=2.7 sg="R-3m, No. 166" pbc="T T T"
S -3.0809 -3.2665 -3.4582
S -4.1709 -3.7796 1.1437
Ru 0.0000 0.0000 0.0000
Ti -3.6259 -3.5231 -1.1573

=====

[23]
3
Lattice="4.1572 0.0000 0.0000 -2.0786 3.6002 0.0000 0.0000 0.0000 6.4120" Properties=species:S:1:pos:R:3 comment="KInSe SCAN single point on PBEsol structure" e_form_raw_mev_per_atom=-838.7 dos_ef_per_ev_fu=0.0 sg="P3m1, No. 156" pbc="T T T"
Se 2.0786 1.2001 1.9297
K 0.0000 2.4002 4.0369
In 0.0000 0.0000 0.4454